Computed, not measured: an optimized crystal structure of Pr3Ho3Tm5 at the PBE-GGA level of DFT.

```
Pr3Ho3Tm5
1.0
5.418 0.000 0.000
0.000 9.625 0.000
0.000 -4.812 8.335
Tm Pr Ho
5 3 3
Direct
0.500 0.267 0.267
0.500 0.667 0.333
0.500 0.000 0.733
0.500 0.333 0.667
0.500 0.733 0.000
0.500 0.634 0.634
0.500 0.366 0.000
0.500 0.000 0.366
0.000 0.000 0.545
0.000 0.545 0.000
0.000 0.455 0.455
```

Computed properties:
Crystal system   hexagonal
Total moment   0.0 μB/cell
Fermi-level density of states   1.419 states/eV/atom
Formation energy   819 meV/atom